[1]
A relaxed structure of Cs2Al2Au, computed with GGA-PBE.

crystal system = tetragonal

a = 8.5399 Å, b = 8.5399 Å, c = 8.5399 Å
α = 143.55°, β = 143.55°, γ = 52.50°
Element x y z (fractional)
Cs (0.2500, 0.7500, 0.5000)
Cs (0.7500, 0.2500, 0.5000)
Al (0.0813, 0.0813, 0.0000)
Al (0.9187, 0.9187, 0.0000)
Au (0.5000, 0.5000, 0.0000)

=====

[2]
A relaxed structure of AcAl, computed with GGA-PBE.

crystal system = monoclinic

a = 4.8288 Å, b = 4.4474 Å, c = 6.4968 Å
α = 90.00°, β = 111.75°, γ = 90.00°
Element x y z (fractional)
Ac (0.1433, 0.2500, 0.2862)
Ac (0.8567, 0.7500, 0.7138)
Al (0.4372, 0.2500, 0.8740)
Al (0.5628, 0.7500, 0.1260)

=====

Number 1: calculated formation energy 0.7162 eV per atom, calculated total energy -1.7777 eV per atom. Number 2: calculated formation energy -0.2984 eV per atom, calculated total energy -4.2239 eV per atom.